# Al3Ga2O8

A relaxed structure of Al3Ga2O8 (PBE, Alexandria via LeMat-Bulk).

Lattice parameters (Å, degrees): 5.701 5.701 4.958 108.44 108.44 60.84
Element x y z (fractional)
1 Al 0.000 0.000 0.000
2 Al 0.259 0.741 0.500
3 Al 0.741 0.259 0.500
4 Ga 0.316 0.316 0.858
5 Ga 0.684 0.684 0.142
6 O 0.111 0.111 0.743
7 O 0.127 0.655 0.745
8 O 0.345 0.873 0.255
9 O 0.388 0.388 0.266
10 O 0.612 0.612 0.734
11 O 0.655 0.127 0.745
12 O 0.873 0.345 0.255
13 O 0.889 0.889 0.257

Output
Density (g cm⁻³): 4.419
Fermi-level density of states (states/eV/atom): 0.318
Symmetry: C2/m, No. 12
Formation energy from raw total energies (kJ per mole of atoms): -229